# GGA-PBE Nb2PBr, relaxed
data_Nb2PBr
_cell_length_a 6.107
_cell_length_b 6.107
_cell_length_c 6.622
_cell_angle_alpha 62.54
_cell_angle_beta 62.54
_cell_angle_gamma 90.00
_symmetry_space_group_name_H-M 'P 1'
_symmetry_Int_Tables_number 1
loop_
_symmetry_equiv_pos_as_xyz
'x,y,z'
loop_
_atom_site_label
_atom_site_fract_x
_atom_site_fract_y
_atom_site_fract_z
_atom_site_occupancy
P1 0.500 0.500 0.000 1
P2 0.250 0.750 0.500 1
Nb1 0.597 0.125 0.250 1
Nb2 0.153 0.625 0.250 1
Nb3 0.375 0.403 0.750 1
Nb4 0.875 0.847 0.750 1
Br1 0.000 0.000 0.000 1
Br2 0.750 0.250 0.500 1
# mass density: 5.3 g/cm3
# formation energy (no corrections): 0.3954 eV/atom
# electronic total energy: -0.4711 Ry per atom
# N(E_F): 1.12 states/eV/atom
# SG: I-42d (122)

***

# GGA-PBE Nb2PRuBr, relaxed
data_Nb2PRuBr
_cell_length_a 5.025
_cell_length_b 4.338
_cell_length_c 5.025
_cell_angle_alpha 90.00
_cell_angle_beta 90.00
_cell_angle_gamma 90.00
_symmetry_space_group_name_H-M 'P 1'
_symmetry_Int_Tables_number 1
loop_
_symmetry_equiv_pos_as_xyz
'x,y,z'
loop_
_atom_site_label
_atom_site_fract_x
_atom_site_fract_y
_atom_site_fract_z
_atom_site_occupancy
Ru1 0.000 0.000 0.000 1
Nb1 0.000 0.000 0.500 1
Nb2 0.500 0.000 0.000 1
Br1 0.500 0.500 0.500 1
P1 0.000 0.500 0.000 1
# mass density: 6.0 g/cm3
# formation energy (no corrections): 0.7567 eV/atom
# electronic total energy: -0.4809 Ry per atom
# N(E_F): 1.17 states/eV/atom
# SG: P4/mmm (123)

***

# GGA-PBE NbP2SBr, relaxed
data_NbP2SBr
_cell_length_a 4.941
_cell_length_b 4.941
_cell_length_c 4.683
_cell_angle_alpha 90.00
_cell_angle_beta 90.00
_cell_angle_gamma 90.00
_symmetry_space_group_name_H-M 'P 1'
_symmetry_Int_Tables_number 1
loop_
_symmetry_equiv_pos_as_xyz
'x,y,z'
loop_
_atom_site_label
_atom_site_fract_x
_atom_site_fract_y
_atom_site_fract_z
_atom_site_occupancy
P1 0.000 0.500 0.000 1
P2 0.500 0.000 0.000 1
Nb1 0.000 0.000 0.000 1
S1 0.000 0.000 0.500 1
Br1 0.500 0.500 0.500 1
# mass density: 3.9 g/cm3
# energy above the most stable polymorph in this dataset: 0.000 eV per atom
# formation energy (no corrections): 0.2316 eV/atom
# electronic total energy: -0.3753 Ry per atom
# N(E_F): 0.67 states/eV/atom
# SG: P4/mmm (123)

***

# GGA-PBE NbP2SBr, relaxed
data_NbP2SBr
_cell_length_a 4.684
_cell_length_b 4.684
_cell_length_c 4.628
_cell_angle_alpha 90.00
_cell_angle_beta 90.00
_cell_angle_gamma 90.00
_symmetry_space_group_name_H-M 'P 1'
_symmetry_Int_Tables_number 1
loop_
_symmetry_equiv_pos_as_xyz
'x,y,z'
loop_
_atom_site_label
_atom_site_fract_x
_atom_site_fract_y
_atom_site_fract_z
_atom_site_occupancy
P1 0.000 0.500 0.000 1
P2 0.500 0.000 0.000 1
Nb1 0.500 0.500 0.500 1
S1 0.000 0.000 0.500 1
Br1 0.000 0.000 0.000 1
# mass density: 4.4 g/cm3
# energy above the most stable polymorph in this dataset: 1.247 eV per atom
# formation energy (no corrections): 1.4786 eV/atom
# electronic total energy: -0.2837 Ry per atom
# N(E_F): 1.15 states/eV/atom
# SG: P4/mmm (123)

***

# GGA-PBE Ti2NbPBr, relaxed
data_Ti2NbPBr
_cell_length_a 4.978
_cell_length_b 4.740
_cell_length_c 4.978
_cell_angle_alpha 90.00
_cell_angle_beta 90.00
_cell_angle_gamma 90.00
_symmetry_space_group_name_H-M 'P 1'
_symmetry_Int_Tables_number 1
loop_
_symmetry_equiv_pos_as_xyz
'x,y,z'
loop_
_atom_site_label
_atom_site_fract_x
_atom_site_fract_y
_atom_site_fract_z
_atom_site_occupancy
P1 0.500 0.500 0.500 1
Nb1 0.000 0.000 0.000 1
Br1 0.000 0.500 0.000 1
Ti1 0.000 0.000 0.500 1
Ti2 0.500 0.000 0.000 1
# mass density: 4.2 g/cm3
# formation energy (no corrections): 1.0323 eV/atom
# electronic total energy: -0.4084 Ry per atom
# N(E_F): 0.97 states/eV/atom
# SG: P4/mmm (123)

***

# GGA-PBE NbZnPBr2, relaxed
data_NbZnPBr2
_cell_length_a 5.323
_cell_length_b 4.522
_cell_length_c 5.323
_cell_angle_alpha 90.00
_cell_angle_beta 90.00
_cell_angle_gamma 90.00
_symmetry_space_group_name_H-M 'P 1'
_symmetry_Int_Tables_number 1
loop_
_symmetry_equiv_pos_as_xyz
'x,y,z'
loop_
_atom_site_label
_atom_site_fract_x
_atom_site_fract_y
_atom_site_fract_z
_atom_site_occupancy
P1 0.000 0.000 0.000 1
Nb1 0.500 0.500 0.500 1
Zn1 0.000 0.500 0.000 1
Br1 0.000 0.000 0.500 1
Br2 0.500 0.000 0.000 1
# mass density: 4.5 g/cm3
# formation energy (no corrections): 0.8702 eV/atom
# electronic total energy: -0.2315 Ry per atom
# N(E_F): 0.79 states/eV/atom
# SG: P4/mmm (123)

***

# GGA-PBE PaNbBr, relaxed
data_PaNbBr
_cell_length_a 3.369
_cell_length_b 5.470
_cell_length_c 10.505
_cell_angle_alpha 89.70
_cell_angle_beta 103.24
_cell_angle_gamma 65.92
_symmetry_space_group_name_H-M 'P 1'
_symmetry_Int_Tables_number 1
loop_
_symmetry_equiv_pos_as_xyz
'x,y,z'
loop_
_atom_site_label
_atom_site_fract_x
_atom_site_fract_y
_atom_site_fract_z
_atom_site_occupancy
Br1 0.427 0.773 0.844 1
Br2 0.573 0.227 0.156 1
Pa1 0.885 0.288 0.626 1
Pa2 0.115 0.712 0.374 1
Nb1 0.763 0.792 0.636 1
Nb2 0.237 0.208 0.364 1
# mass density: 7.8 g/cm3
# formation energy (no corrections): -0.2172 eV/atom
# electronic total energy: -0.5363 Ry per atom
# N(E_F): 0.38 states/eV/atom
# SG: P-1 (2)

***

# GGA-PBE Nb3PbBr, relaxed
data_Nb3PbBr
_cell_length_a 5.252
_cell_length_b 5.252
_cell_length_c 5.252
_cell_angle_alpha 90.00
_cell_angle_beta 90.00
_cell_angle_gamma 90.00
_symmetry_space_group_name_H-M 'P 1'
_symmetry_Int_Tables_number 1
loop_
_symmetry_equiv_pos_as_xyz
'x,y,z'
loop_
_atom_site_label
_atom_site_fract_x
_atom_site_fract_y
_atom_site_fract_z
_atom_site_occupancy
Pb1 0.000 0.000 0.000 1
Nb1 0.000 0.500 0.000 1
Nb2 0.000 0.000 0.500 1
Nb3 0.500 0.000 0.000 1
Br1 0.500 0.500 0.500 1
# mass density: 6.5 g/cm3
# energy above the most stable polymorph in this dataset: 1.108 eV per atom
# formation energy (no corrections): 2.1036 eV/atom
# electronic total energy: -0.3686 Ry per atom
# N(E_F): 2.18 states/eV/atom
# SG: Pm-3m (221)

***

# GGA-PBE NbPbBr2, relaxed
data_NbPbBr2
_cell_length_a 9.156
_cell_length_b 9.156
_cell_length_c 7.100
_cell_angle_alpha 49.85
_cell_angle_beta 49.85
_cell_angle_gamma 90.00
_symmetry_space_group_name_H-M 'P 1'
_symmetry_Int_Tables_number 1
loop_
_symmetry_equiv_pos_as_xyz
'x,y,z'
loop_
_atom_site_label
_atom_site_fract_x
_atom_site_fract_y
_atom_site_fract_z
_atom_site_occupancy
Pb1 0.000 0.000 0.000 1
Pb2 0.750 0.250 0.500 1
Nb1 0.500 0.500 0.000 1
Nb2 0.250 0.750 0.500 1
Br1 0.501 0.125 0.250 1
Br2 0.249 0.625 0.250 1
Br3 0.375 0.499 0.750 1
Br4 0.875 0.751 0.750 1
# mass density: 6.2 g/cm3
# energy above the most stable polymorph in this dataset: 0.348 eV per atom
# formation energy (no corrections): 0.0189 eV/atom
# electronic total energy: -0.3133 Ry per atom
# N(E_F): 1.10 states/eV/atom
# SG: I-42d (122)

***

# GGA-PBE Nb3PbBr, relaxed
data_Nb3PbBr
_cell_length_a 4.794
_cell_length_b 4.794
_cell_length_c 4.794
_cell_angle_alpha 90.00
_cell_angle_beta 90.00
_cell_angle_gamma 90.00
_symmetry_space_group_name_H-M 'P 1'
_symmetry_Int_Tables_number 1
loop_
_symmetry_equiv_pos_as_xyz
'x,y,z'
loop_
_atom_site_label
_atom_site_fract_x
_atom_site_fract_y
_atom_site_fract_z
_atom_site_occupancy
Pb1 0.500 0.500 0.500 1
Nb1 0.000 0.500 0.000 1
Nb2 0.000 0.000 0.500 1
Nb3 0.500 0.000 0.000 1
Br1 0.000 0.000 0.000 1
# mass density: 8.5 g/cm3
# energy above the most stable polymorph in this dataset: 0.000 eV per atom
# formation energy (no corrections): 0.9960 eV/atom
# electronic total energy: -0.4500 Ry per atom
# N(E_F): 0.72 states/eV/atom
# SG: Pm-3m (221)

***

Number 1: M_tot 1.726 μB/f.u.. Number 2: M_tot 1.849 μB/f.u.. Number 3: M_tot 0.000 μB/f.u.. Number 4: M_tot 0.001 μB/f.u.. Number 5: M_tot 0.000 μB/f.u.. Number 6: M_tot 4.081 μB/f.u.. Number 7: M_tot 0.000 μB/f.u.. Number 8: M_tot 0.000 μB/f.u.. Number 9: M_tot 1.633 μB/f.u.. Number 10: M_tot 0.000 μB/f.u..